Entry 1:
This record from the Alexandria database describes a geometry-optimized Th5P2Se5 structure. The functional is GGA-PBE.

abc: 13.6884 4.0987 12.2635
angles: 90.00 107.30 90.00
With the nearest neighbours (Å) after each atom.
Space group C2/m (No. 12)
Inequivalent atoms, fractional coordinates:
Th 0.0000 0.0000 0.0000 x2  2 P 2.81, 4 Se 2.97
Th 0.1201 0.0000 0.4191 x4  1 P 2.81, 5 Se 2.97-3.02
Th 0.1850 0.5000 0.8013 x4  2 P 2.83, 5 Se 3.04-3.12
P 0.0390 0.0000 0.7879 x4  4 Th 2.81-2.83
Se 0.0000 0.5000 0.5000 x2  4 Th 2.98
Se 0.1648 0.5000 0.0479 x4  5 Th 2.97-3.12
Se 0.2398 0.5000 0.3381 x4  5 Th 2.97-3.04

- Formation energy from raw total energies: -1.4894 eV per atom

=====

Entry 2:
This record from the Alexandria database describes a geometry-optimized La2NiAu structure. The functional is GGA-PBE.

abc: 3.9763 4.6754 5.8883
angles: 90.00 109.25 90.00
With the nearest neighbours (Å) after each atom.
Space group Pm (No. 6)
Inequivalent atoms, fractional coordinates:
La 0.0000 0.0000 0.0000 x1  3 Au 3.11-3.17, 4 Ni 3.13
La 0.2703 0.5000 0.5475 x1  3 Ni 3.12-3.16, 4 Au 3.13-3.14
Ni 0.5529 0.5000 0.1083 x1  2 Au 2.95, 7 La 3.12-3.16
Au 0.7122 0.0000 0.4307 x1  2 Ni 2.95, 7 La 3.11-3.17

- ΔH_f (0 K): -0.5420 eV/atom

=====

N(E_F) list, top to bottom, in states/eV/cell: 15.3 3.6
Total magnetic moment list, top to bottom, in μB/atom: 0.00 0.00